1.
Density functional theory data (PBE-GGA) for ThPa3P4N12 after structural relaxation.

Calculated values
Calculated volume = 298.21 Å³ per cell
SG = R32, No. 155
Calculated density = 6.8 g cm⁻³

Lattice parameters (Å, degrees): 6.9175 6.9175 6.9175 103.48 103.48 103.48
Element x y z (fractional)
Th: 0.0000 0.0000 0.0000
Pa: 0.0000 0.5395 0.4605
Pa: 0.4605 0.0000 0.5395
Pa: 0.5395 0.4605 0.0000
P: 0.0389 0.5000 0.9611
P: 0.5000 0.5000 0.5000
P: 0.5000 0.9611 0.0389
P: 0.9611 0.0389 0.5000
N: 0.0263 0.6476 0.8154
N: 0.1080 0.8920 0.5000
N: 0.1846 0.3524 0.9737
N: 0.3524 0.9737 0.1846
N: 0.3528 0.6472 0.5000
N: 0.5000 0.1080 0.8920
N: 0.5000 0.3528 0.6472
N: 0.6472 0.5000 0.3528
N: 0.6476 0.8154 0.0263
N: 0.8154 0.0263 0.6476
N: 0.8920 0.5000 0.1080
N: 0.9737 0.1846 0.3524

---

2.
Density functional theory data (PBE-GGA) for ThPa2PN6 after structural relaxation.

Calculated values
Calculated volume = 144.51 Å³ per cell
SG = P4mm, No. 99
Calculated density = 9.3 g cm⁻³

Lattice parameters (Å, degrees): 5.2331 5.2331 5.2770 90.00 90.00 90.00
Element x y z (fractional)
Th: 0.0000 0.0000 0.0000
Pa: 0.0000 0.5000 0.4634
Pa: 0.5000 0.0000 0.4634
P: 0.5000 0.5000 0.0786
N: 0.0000 0.0000 0.5587
N: 0.2767 0.2767 0.2038
N: 0.2767 0.7233 0.2038
N: 0.5000 0.5000 0.7570
N: 0.7233 0.2767 0.2038
N: 0.7233 0.7233 0.2038

---

3.
Density functional theory data (PBE-GGA) for Pa2TiPN6 after structural relaxation.

Calculated values
Calculated volume = 119.70 Å³ per cell
SG = P4mm, No. 99
Calculated density = 8.7 g cm⁻³

Lattice parameters (Å, degrees): 5.1429 5.1429 4.5257 90.00 90.00 90.00
Element x y z (fractional)
Pa: 0.0000 0.5000 0.0000
Pa: 0.5000 0.0000 0.0000
Ti: 0.0000 0.0000 0.5562
P: 0.5000 0.5000 0.5615
N: 0.0000 0.0000 0.1380
N: 0.2676 0.2676 0.6812
N: 0.2676 0.7324 0.6812
N: 0.5000 0.5000 0.1960
N: 0.7324 0.2676 0.6812
N: 0.7324 0.7324 0.6812

---

4.
Density functional theory data (PBE-GGA) for PaTiPN after structural relaxation.

Calculated values
Calculated volume = 129.50 Å³ per cell
SG = P4/nmm, No. 129
Calculated density = 8.3 g cm⁻³

Lattice parameters (Å, degrees): 3.8704 3.8704 8.6451 90.00 90.00 90.00
Element x y z (fractional)
Pa: 0.2500 0.2500 0.1401
Pa: 0.7500 0.7500 0.8599
Ti: 0.2500 0.7500 0.5000
Ti: 0.7500 0.2500 0.5000
P: 0.2500 0.2500 0.6892
P: 0.7500 0.7500 0.3108
N: 0.2500 0.7500 0.0000
N: 0.7500 0.2500 0.0000

---

5.
Density functional theory data (PBE-GGA) for PaTl2P2N6 after structural relaxation.

Calculated values
Calculated volume = 195.81 Å³ per cell
SG = R-3m, No. 166
Calculated density = 6.7 g cm⁻³

Lattice parameters (Å, degrees): 7.3344 7.3344 7.3344 47.43 47.43 47.43
Element x y z (fractional)
Pa: 0.0000 0.0000 0.0000
Tl: 0.2065 0.2065 0.2065
Tl: 0.7935 0.7935 0.7935
P: 0.4007 0.4007 0.4007
P: 0.5993 0.5993 0.5993
N: 0.2478 0.2478 0.7109
N: 0.2478 0.7109 0.2478
N: 0.2891 0.7522 0.7522
N: 0.7109 0.2478 0.2478
N: 0.7522 0.2891 0.7522
N: 0.7522 0.7522 0.2891

---

6.
Density functional theory data (PBE-GGA) for Pa3Tl4PN8 after structural relaxation.

Calculated values
Calculated volume = 289.19 Å³ per cell
SG = C2/m, No. 12
Calculated density = 9.5 g cm⁻³

Lattice parameters (Å, degrees): 7.1279 7.1279 7.5792 112.85 112.85 56.83
Element x y z (fractional)
Pa: 0.0000 0.0000 0.0000
Pa: 0.0000 0.5000 0.0000
Pa: 0.5000 0.0000 0.0000
Tl: 0.0000 0.0000 0.5000
Tl: 0.0000 0.5000 0.5000
Tl: 0.5000 0.0000 0.5000
Tl: 0.5000 0.5000 0.5000
P: 0.5000 0.5000 0.0000
N: 0.1949 0.1949 0.1556
N: 0.2187 0.2187 0.8022
N: 0.2677 0.6453 0.1143
N: 0.3547 0.7323 0.8857
N: 0.6453 0.2677 0.1143
N: 0.7323 0.3547 0.8857
N: 0.7813 0.7813 0.1978
N: 0.8051 0.8051 0.8444

---

7.
Density functional theory data (PBE-GGA) for Pa3TlP4N12 after structural relaxation.

Calculated values
Calculated volume = 318.92 Å³ per cell
SG = R32, No. 155
Calculated density = 6.2 g cm⁻³

Lattice parameters (Å, degrees): 7.0205 7.0205 7.0205 102.11 102.11 102.11
Element x y z (fractional)
Pa: 0.0000 0.5485 0.4515
Pa: 0.4515 0.0000 0.5485
Pa: 0.5485 0.4515 0.0000
Tl: 0.0000 0.0000 0.0000
P: 0.0493 0.5000 0.9507
P: 0.5000 0.5000 0.5000
P: 0.5000 0.9507 0.0493
P: 0.9507 0.0493 0.5000
N: 0.0076 0.5967 0.7687
N: 0.0972 0.9028 0.5000
N: 0.2313 0.4033 0.9924
N: 0.3546 0.6454 0.5000
N: 0.4033 0.9924 0.2313
N: 0.5000 0.0972 0.9028
N: 0.5000 0.3546 0.6454
N: 0.5967 0.7687 0.0076
N: 0.6454 0.5000 0.3546
N: 0.7687 0.0076 0.5967
N: 0.9028 0.5000 0.0972
N: 0.9924 0.2313 0.4033

---

8.
Density functional theory data (PBE-GGA) for TmPaPN2 after structural relaxation.

Calculated values
Calculated volume = 88.87 Å³ per cell
SG = I4mm, No. 107
Calculated density = 8.6 g cm⁻³

Lattice parameters (Å, degrees): 6.5946 6.5946 6.5946 146.09 146.09 48.71
Element x y z (fractional)
Tm: 0.0000 0.0000 0.0000
Pa: 0.3178 0.3178 0.0000
P: 0.6614 0.6614 0.0000
N: 0.4026 0.9026 0.5000
N: 0.9026 0.4026 0.5000

---

Calculated values (eV per formula unit) of energy relative to the elements, uncorrected for the records, taken in order: -16.723, -9.272, -10.551, -5.660, -3.200, -6.871, -13.816, -6.693.